MgBi2IrC | PBE | optimized geometry

Unit cell a=5.3978 b=5.3978 c=3.8681 alpha=90.00 beta=90.00 gamma=90.00
Space group P4/mmm (No. 123)
Unique sites:
Mg 0.0000 0.0000 0.0000 [1 per cell]
Bi 0.0000 0.5000 0.0000 [2 per cell]
Ir 0.5000 0.5000 0.5000 [1 per cell]
C 0.0000 0.0000 0.5000 [1 per cell]

Calculated values
ΔE_f = 1649 meV per atom
Spin magnetization = 0.00 Bohr magnetons per cell
Crystal system = tetragonal
DOS(E_F) = 5.59 states/eV per cell
Uncorrected energy = -3.84 eV/atom



Sc2BiIrC | PBE | optimized geometry

Unit cell a=4.3954 b=4.3954 c=4.7870 alpha=90.00 beta=90.00 gamma=90.00
Space group P4/mmm (No. 123)
Unique sites:
Sc 0.0000 0.5000 0.0000 [2 per cell]
Bi 0.0000 0.0000 0.5000 [1 per cell]
Ir 0.5000 0.5000 0.5000 [1 per cell]
C 0.0000 0.0000 0.0000 [1 per cell]

Calculated values
ΔE_f = -9 meV per atom
Spin magnetization = 0.00 Bohr magnetons per cell
Crystal system = tetragonal
Distance to the lowest polymorph of the same formula = 2.15 eV/f.u.
DOS(E_F) = 4.23 states/eV per cell
Uncorrected energy = -6.93 eV/atom



Sc2BiIrC | PBE | optimized geometry

Unit cell a=4.6750 b=4.6750 c=4.0571 alpha=90.00 beta=90.00 gamma=90.00
Space group P4/mmm (No. 123)
Unique sites:
Sc 0.0000 0.5000 0.0000 [2 per cell]
Bi 0.0000 0.0000 0.5000 [1 per cell]
Ir 0.5000 0.5000 0.5000 [1 per cell]
C 0.5000 0.5000 0.0000 [1 per cell]

Calculated values
ΔE_f = -440 meV per atom
Spin magnetization = 0.00 Bohr magnetons per cell
Crystal system = tetragonal
Distance to the lowest polymorph of the same formula = 0.00 eV/f.u.
DOS(E_F) = 4.57 states/eV per cell
Uncorrected energy = -7.37 eV/atom



K3BiC | PBE | optimized geometry

Unit cell a=5.7725 b=5.7725 c=5.7725 alpha=90.00 beta=90.00 gamma=90.00
Space group Pm-3m (No. 221)
Unique sites:
K 0.0000 0.0000 0.5000 [3 per cell]
Bi 0.5000 0.5000 0.5000 [1 per cell]
C 0.0000 0.0000 0.0000 [1 per cell]

Calculated values
ΔE_f = 756 meV per atom
Spin magnetization = 4.00 Bohr magnetons per cell
Crystal system = cubic
Distance to the lowest polymorph of the same formula = 0.00 eV/f.u.
DOS(E_F) = 1.67 states/eV per cell
Uncorrected energy = -2.52 eV/atom



K2BiC | PBE | optimized geometry

Unit cell a=12.0486 b=12.0486 c=4.6797 alpha=90.00 beta=90.00 gamma=90.00
Space group I-42d (No. 122)
Unique sites:
K 0.0359 0.7500 0.1250 [8 per cell]
Bi 0.0000 0.0000 0.5000 [4 per cell]
C 0.0000 0.0000 0.0000 [4 per cell]

Calculated values
ΔE_f = 791 meV per atom
Spin magnetization = 0.00 Bohr magnetons per cell
Crystal system = tetragonal
Distance to the lowest polymorph of the same formula = 0.00 eV/f.u.
DOS(E_F) = 8.28 states/eV per cell
Uncorrected energy = -3.03 eV/atom



K2BiC | PBE | optimized geometry

Unit cell a=8.1402 b=8.1402 c=8.1402 alpha=90.00 beta=90.00 gamma=90.00
Space group Fm-3m (No. 225)
Unique sites:
K 0.2500 0.2500 0.2500 [8 per cell]
Bi 0.0000 0.0000 0.0000 [4 per cell]
C 0.0000 0.0000 0.5000 [4 per cell]

Calculated values
ΔE_f = 1281 meV per atom
Spin magnetization = 4.00 Bohr magnetons per cell
Crystal system = cubic
Distance to the lowest polymorph of the same formula = 1.96 eV/f.u.
DOS(E_F) = 13.71 states/eV per cell
Uncorrected energy = -2.54 eV/atom



KBiC2 | PBE | optimized geometry

Unit cell a=6.7046 b=6.7046 c=8.5046 alpha=90.00 beta=90.00 gamma=90.00
Space group I-42d (No. 122)
Unique sites:
K 0.0000 0.0000 0.0000 [4 per cell]
Bi 0.0000 0.0000 0.5000 [4 per cell]
C 0.1767 0.2500 0.6250 [8 per cell]

Calculated values
ΔE_f = 1837 meV per atom
Spin magnetization = 8.00 Bohr magnetons per cell
Crystal system = tetragonal
DOS(E_F) = 1.02 states/eV per cell
Uncorrected energy = -4.02 eV/atom



K2LiBiC | PBE | optimized geometry

Unit cell a=7.0024 b=7.0024 c=4.4377 alpha=90.00 beta=90.00 gamma=90.00
Space group P4/mmm (No. 123)
Unique sites:
K 0.0000 0.5000 0.0000 [2 per cell]
Li 0.0000 0.0000 0.5000 [1 per cell]
Bi 0.5000 0.5000 0.0000 [1 per cell]
C 0.5000 0.5000 0.5000 [1 per cell]

Calculated values
ΔE_f = 953 meV per atom
Spin magnetization = 0.00 Bohr magnetons per cell
Crystal system = tetragonal
DOS(E_F) = 1.30 states/eV per cell
Uncorrected energy = -2.49 eV/atom



KBiC2O | PBE | optimized geometry

Unit cell a=4.6640 b=4.6640 c=4.4589 alpha=90.00 beta=90.00 gamma=90.00
Space group P4/mmm (No. 123)
Unique sites:
K 0.0000 0.0000 0.0000 [1 per cell]
Bi 0.5000 0.5000 0.5000 [1 per cell]
C 0.0000 0.5000 0.5000 [2 per cell]
O 0.5000 0.5000 0.0000 [1 per cell]

Calculated values
Spin magnetization = 2.59 Bohr magnetons per cell
Crystal system = tetragonal
Formation energy (no corrections) = 1.5371 eV per atom
DOS(E_F) = 2.81 states/eV per cell
Uncorrected energy = -4.14 eV/atom



K2BiC2O6 | PBE | optimized geometry

Unit cell a=11.6249 b=5.3120 c=6.7357 alpha=90.00 beta=116.28 gamma=90.00
Space group C2/m (No. 12)
Unique sites:
K 0.1967 0.0000 0.1933 [4 per cell]
Bi 0.0000 0.0000 0.5000 [2 per cell]
C 0.0085 0.5000 0.7437 [4 per cell]
O 0.0741 0.2886 0.8084 [8 per cell]
O 0.1120 0.5000 0.3812 [4 per cell]

Calculated values
Spin magnetization = 2.00 Bohr magnetons per cell
Crystal system = monoclinic
Formation energy (no corrections) = -1.4733 eV per atom
Uncorrected energy = -6.41 eV/atom



KBiC2O6 | PBE | optimized geometry

Unit cell a=8.7639 b=9.9485 c=7.2763 alpha=90.00 beta=113.15 gamma=90.00
Space group C2/c (No. 15)
Unique sites:
K 0.0000 0.1281 0.2500 [4 per cell]
Bi 0.0000 0.4087 0.7500 [4 per cell]
C 0.2321 0.3837 0.2677 [8 per cell]
O 0.0827 0.3916 0.1184 [8 per cell]
O 0.1774 0.2195 0.7057 [8 per cell]
O 0.2269 0.0133 0.6118 [8 per cell]

Calculated values
Spin magnetization = 0.00 Bohr magnetons per cell
Crystal system = monoclinic
Formation energy (no corrections) = -1.5084 eV per atom
DOS(E_F) = 0.00 states/eV per cell
Uncorrected energy = -6.83 eV/atom



KBiPCO7 | PBE | optimized geometry

Unit cell a=4.9718 b=7.0944 c=10.7748 alpha=90.00 beta=102.08 gamma=90.00
Space group P2_1 (No. 4)
Unique sites:
K 0.1602 0.0000 0.1804 [2 per cell]
Bi 0.3276 0.0496 0.6386 [2 per cell]
P 0.2482 0.5527 0.5702 [2 per cell]
C 0.4974 0.6355 0.0492 [2 per cell]
O 0.0703 0.0566 0.4396 [2 per cell]
O 0.2430 0.1592 0.9333 [2 per cell]
O 0.2833 0.5530 0.4273 [2 per cell]
O 0.3534 0.6319 0.9362 [2 per cell]
O 0.3733 0.3746 0.6415 [2 per cell]
O 0.3778 0.6161 0.1441 [2 per cell]
O 0.3881 0.7251 0.6430 [2 per cell]

Calculated values
Spin magnetization = 2.02 Bohr magnetons per cell
Crystal system = monoclinic
Formation energy (no corrections) = -1.6756 eV per atom
DOS(E_F) = 0.39 states/eV per cell
Uncorrected energy = -6.61 eV/atom



KBiPCO7 | PBE | optimized geometry

Unit cell a=4.9777 b=7.0993 c=10.5918 alpha=90.00 beta=96.37 gamma=90.00
Space group P2_1 (No. 4)
Unique sites:
K 0.0689 0.0000 0.1756 [2 per cell]
Bi 0.2674 0.9580 0.6405 [2 per cell]
P 0.3075 0.4580 0.5667 [2 per cell]
C 0.4661 0.8606 0.9413 [2 per cell]
O 0.1723 0.4557 0.4246 [2 per cell]
O 0.2112 0.8646 0.9043 [2 per cell]
O 0.2274 0.2859 0.6421 [2 per cell]
O 0.2289 0.6356 0.6376 [2 per cell]
O 0.3718 0.3319 0.1432 [2 per cell]
O 0.3804 0.9576 0.4450 [2 per cell]
O 0.4444 0.3859 0.9426 [2 per cell]

Calculated values
Spin magnetization = 2.07 Bohr magnetons per cell
Crystal system = monoclinic
Formation energy (no corrections) = -1.6747 eV per atom
Uncorrected energy = -6.61 eV/atom



KBiPd2C | PBE | optimized geometry

Unit cell a=5.1098 b=5.1098 c=7.0901 alpha=90.00 beta=90.00 gamma=90.00
Space group P4/mmm (No. 123)
Unique sites:
K 0.0000 0.0000 0.0000 [1 per cell]
Bi 0.0000 0.0000 0.5000 [1 per cell]
Pd 0.0000 0.5000 0.5000 [2 per cell]
C 0.5000 0.5000 0.0000 [1 per cell]

Calculated values
ΔE_f = 1640 meV per atom
Spin magnetization = 1.70 Bohr magnetons per cell
Crystal system = tetragonal
DOS(E_F) = 5.91 states/eV per cell
Uncorrected energy = -3.28 eV/atom



KBiPtC2 | PBE | optimized geometry

Unit cell a=4.1888 b=4.1888 c=5.7569 alpha=90.00 beta=90.00 gamma=90.00
Space group P4/mmm (No. 123)
Unique sites:
K 0.0000 0.0000 0.0000 [1 per cell]
Bi 0.5000 0.5000 0.0000 [1 per cell]
Pt 0.0000 0.0000 0.5000 [1 per cell]
C 0.0000 0.5000 0.5000 [2 per cell]

Calculated values
ΔE_f = 1803 meV per atom
Spin magnetization = 0.00 Bohr magnetons per cell
Crystal system = tetragonal
DOS(E_F) = 3.08 states/eV per cell
Uncorrected energy = -4.09 eV/atom



KTlBi2C | PBE | optimized geometry

Unit cell a=6.1665 b=6.1665 c=6.2898 alpha=90.00 beta=90.00 gamma=90.00
Space group P4/mmm (No. 123)
Unique sites:
K 0.0000 0.0000 0.0000 [1 per cell]
Tl 0.0000 0.0000 0.5000 [1 per cell]
Bi 0.0000 0.5000 0.0000 [2 per cell]
C 0.5000 0.5000 0.5000 [1 per cell]

Calculated values
ΔE_f = 2164 meV per atom
Spin magnetization = 0.26 Bohr magnetons per cell
Crystal system = tetragonal
DOS(E_F) = 3.48 states/eV per cell
Uncorrected energy = -1.93 eV/atom



La3BiC | PBE | optimized geometry

Unit cell a=10.9771 b=9.8594 c=6.9095 alpha=90.00 beta=123.56 gamma=90.00
Space group C2/c (No. 15)
Unique sites:
La 0.0000 0.1990 0.2500 [4 per cell]
La 0.1783 0.4396 0.7276 [8 per cell]
Bi 0.0000 0.1530 0.7500 [4 per cell]
C 0.0000 0.4413 0.2500 [4 per cell]

Calculated values
ΔE_f = -420 meV per atom
Spin magnetization = 0.00 Bohr magnetons per cell
Crystal system = monoclinic
DOS(E_F) = 11.23 states/eV per cell
Uncorrected energy = -6.00 eV/atom



LaBi2C2 | PBE | optimized geometry

Unit cell a=4.6879 b=4.6879 c=9.9535 alpha=90.00 beta=90.00 gamma=90.00
Space group I4/mmm (No. 139)
Unique sites:
La 0.0000 0.0000 0.0000 [2 per cell]
Bi 0.0000 0.0000 0.3287 [4 per cell]
C 0.0000 0.5000 0.2500 [4 per cell]

Calculated values
ΔE_f = 1091 meV per atom
Spin magnetization = 0.00 Bohr magnetons per cell
Crystal system = tetragonal
Distance to the lowest polymorph of the same formula = 3.50 eV/f.u.
DOS(E_F) = 3.69 states/eV per cell
Uncorrected energy = -5.14 eV/atom



La4BiC | PBE | optimized geometry

Unit cell a=6.3475 b=7.7090 c=8.3664 alpha=106.31 beta=112.25 gamma=90.00
Space group P-1 (No. 2)
Unique sites:
La 0.0056 0.4522 0.1934 [2 per cell]
La 0.1873 0.9514 0.1933 [2 per cell]
La 0.2484 0.8243 0.6235 [2 per cell]
La 0.3749 0.3241 0.6235 [2 per cell]
Bi 0.3796 0.2501 0.0004 [2 per cell]
C 0.0000 0.5000 0.5000 [1 per cell]
C 0.5000 0.0000 0.5000 [1 per cell]

Calculated values
ΔE_f = -339 meV per atom
Spin magnetization = 0.01 Bohr magnetons per cell
Crystal system = triclinic
Distance to the lowest polymorph of the same formula = 0.00 eV/f.u.
DOS(E_F) = 13.48 states/eV per cell
Uncorrected energy = -5.81 eV/atom



La2BiC | PBE | optimized geometry

Unit cell a=7.6313 b=7.6313 c=7.9337 alpha=90.00 beta=90.00 gamma=90.00
Space group I-42d (No. 122)
Unique sites:
La 0.1633 0.2500 0.1250 [8 per cell]
Bi 0.0000 0.0000 0.5000 [4 per cell]
C 0.0000 0.0000 0.0000 [4 per cell]

Calculated values
ΔE_f = -295 meV per atom
Spin magnetization = 0.00 Bohr magnetons per cell
Crystal system = tetragonal
DOS(E_F) = 16.17 states/eV per cell
Uncorrected energy = -6.04 eV/atom



La5Bi2C | PBE | optimized geometry

Unit cell a=5.9803 b=10.6840 c=16.2264 alpha=90.00 beta=90.00 gamma=90.00
Space group Cmcm (No. 63)
Unique sites:
La 0.0000 0.0954 0.1340 [8 per cell]
La 0.0000 0.2509 0.7500 [4 per cell]
La 0.0000 0.4031 0.1342 [8 per cell]
Bi 0.0000 0.2507 0.5561 [8 per cell]
C 0.0000 0.2490 0.2500 [4 per cell]

Calculated values
ΔE_f = -402 meV per atom
Spin magnetization = 0.00 Bohr magnetons per cell
Crystal system = orthorhombic
Distance to the lowest polymorph of the same formula = 1.22 eV/f.u.
DOS(E_F) = 26.33 states/eV per cell
Uncorrected energy = -5.61 eV/atom



La3BiC | PBE | optimized geometry

Unit cell a=4.5602 b=4.5602 c=18.0901 alpha=90.00 beta=90.00 gamma=120.00
Space group P6_3/mmc (No. 194)
Unique sites:
La 0.0000 0.0000 0.2500 [2 per cell]
La 0.3333 0.6667 0.1079 [4 per cell]
Bi 0.0000 0.0000 0.0000 [2 per cell]
C 0.3333 0.6667 0.2500 [2 per cell]

Calculated values
ΔE_f = -270 meV per atom
Spin magnetization = 0.00 Bohr magnetons per cell
Crystal system = hexagonal
DOS(E_F) = 2.41 states/eV per cell
Uncorrected energy = -5.85 eV/atom



LaBi2C | PBE | optimized geometry

Unit cell a=7.6792 b=7.6792 c=7.2835 alpha=90.00 beta=90.00 gamma=90.00
Space group I-42d (No. 122)
Unique sites:
La 0.0000 0.0000 0.0000 [4 per cell]
Bi 0.1523 0.7500 0.6250 [8 per cell]
C 0.0000 0.0000 0.5000 [4 per cell]

Calculated values
ΔE_f = 520 meV per atom
Spin magnetization = 0.00 Bohr magnetons per cell
Crystal system = tetragonal
DOS(E_F) = 14.67 states/eV per cell
Uncorrected energy = -4.96 eV/atom